1.
Material: RbPrP3HO10
Method: DFT, PBEsol
State: optimized geometry

```
RbPrP3HO10
1.0
7.071 0.000 0.000
0.956 7.781 0.000
2.322 2.040 8.085
Rb Pr P H O
2 2 6 2 20
direct
0.202 0.217 0.028 Rb
0.798 0.783 0.972 Rb
0.228 0.133 0.509 Pr
0.772 0.867 0.491 Pr
0.148 0.544 0.639 P
0.322 0.806 0.344 P
0.330 0.737 0.814 P
0.670 0.263 0.186 P
0.678 0.194 0.656 P
0.852 0.456 0.361 P
0.316 0.711 0.080 H
0.684 0.289 0.920 H
0.040 0.345 0.335 O
0.131 0.924 0.372 O
0.139 0.346 0.674 O
0.200 0.897 0.757 O
0.257 0.656 0.003 O
0.273 0.604 0.450 O
0.285 0.573 0.748 O
0.405 0.794 0.168 O
0.451 0.243 0.242 O
0.460 0.869 0.424 O
0.540 0.131 0.576 O
0.549 0.757 0.758 O
0.595 0.206 0.832 O
0.715 0.427 0.252 O
0.727 0.396 0.550 O
0.743 0.344 0.997 O
0.800 0.103 0.243 O
0.861 0.654 0.326 O
0.869 0.076 0.628 O
0.960 0.655 0.665 O
```

Values from the calculation:
The magnetic moment is 0.0 Bohr magnetons per cell. As for the space-group type: P-1. The density of states at the Fermi level comes out at 0.00 states/eV per atom. As for the total energy: -118.32 eV per formula unit.

2.
Material: CaHgTeI2
Method: DFT, PBEsol
State: optimized geometry

```
CaHgTeI2
1.0
5.692 0.000 0.000
0.000 5.692 0.000
0.000 0.000 5.713
Ca Hg Te I
1 1 1 2
direct
0.000 0.000 0.000 Ca
0.500 0.500 0.500 Hg
0.500 0.500 0.000 Te
0.000 0.500 0.500 I
0.500 0.000 0.500 I
```

Values from the calculation:
The magnetic moment is 0.0 Bohr magnetons per cell. As for the space-group type: P4/mmm. As for the energy relative to the elements, uncorrected: -34.9 kJ per mole of atoms. The density of states at the Fermi level comes out at 0.20 states/eV per atom.

3.
Material: Mn2NiAu
Method: DFT, PBEsol
State: optimized geometry

```
Mn2NiAu
1.0
-1.854 1.854 3.784
1.854 -1.854 3.784
1.854 1.854 -3.784
Mn Ni Au
2 1 1
direct
0.000 0.000 0.000 Mn
0.750 0.250 0.500 Mn
0.500 0.500 0.000 Ni
0.250 0.750 0.500 Au
```

Values from the calculation:
Its calculated formation energy is 0.1545 eV per atom. The magnetic moment is 7.6 Bohr magnetons per cell. As for the space-group type: I-4m2. For the energy above the most stable polymorph in this dataset, the calculation gives 0.03 eV per formula unit. The density of states at the Fermi level comes out at 0.47 states/eV per atom.

4.
Material: SmSi
Method: DFT, PBEsol
State: optimized geometry

```
SmSi
1.0
8.027 0.000 0.000
0.000 3.861 0.000
0.000 0.000 5.777
Sm Si
4 4
direct
0.179 0.250 0.114 Sm
0.321 0.750 0.614 Sm
0.679 0.250 0.386 Sm
0.821 0.750 0.886 Sm
0.036 0.250 0.625 Si
0.464 0.750 0.125 Si
0.536 0.250 0.875 Si
0.964 0.750 0.375 Si
```

Values from the calculation:
The magnetic moment is 0.0 Bohr magnetons per cell. As for the space-group type: Pnma. As for the energy relative to the elements, uncorrected: -82.6 kJ per mole of atoms. The density of states at the Fermi level comes out at 0.61 states/eV per atom.

5.
Material: AsPb2Au
Method: DFT, PBEsol
State: optimized geometry

```
AsPb2Au
1.0
2.052 1.185 6.901
-2.052 1.185 6.901
0.000 -2.370 6.901
As Pb Au
1 2 1
direct
0.000 0.000 0.000 As
0.250 0.250 0.250 Pb
0.750 0.750 0.750 Pb
0.500 0.500 0.500 Au
```

Values from the calculation:
Its calculated formation energy is 0.0183 eV per atom. The magnetic moment is 0.0 Bohr magnetons per cell. As for the space-group type: R-3m. The density of states at the Fermi level comes out at 0.37 states/eV per atom.

6.
Material: SrTl2Ir
Method: DFT, PBEsol
State: optimized geometry

```
SrTl2Ir
1.0
3.013 -4.679 0.000
3.013 4.679 0.000
0.000 0.000 3.341
Sr Tl Ir
1 2 1
direct
0.000 0.000 0.000 Sr
0.000 0.500 0.500 Tl
0.500 0.000 0.500 Tl
0.500 0.500 0.000 Ir
```

Values from the calculation:
Its calculated formation energy is 0.3794 eV per atom. The magnetic moment is 0.0 Bohr magnetons per cell. As for the space-group type: Cmmm. The density of states at the Fermi level comes out at 0.57 states/eV per atom.

7.
Material: Zr2MnGe2
Method: DFT, PBEsol
State: optimized geometry

```
Zr2MnGe2
1.0
6.488 0.000 0.000
0.000 6.488 0.000
0.000 0.000 4.002
Zr Mn Ge
4 2 4
direct
0.171 0.329 0.000 Zr
0.329 0.829 0.000 Zr
0.671 0.171 0.000 Zr
0.829 0.671 0.000 Zr
0.000 0.000 0.500 Mn
0.500 0.500 0.500 Mn
0.138 0.638 0.500 Ge
0.362 0.138 0.500 Ge
0.638 0.862 0.500 Ge
0.862 0.362 0.500 Ge
```

Values from the calculation:
Its calculated formation energy is -0.6426 eV per atom. The magnetic moment is 3.2 Bohr magnetons per cell. As for the space-group type: P4/mbm. The density of states at the Fermi level comes out at 0.61 states/eV per atom.

8.
Material: CdTc2Mo
Method: DFT, PBEsol
State: optimized geometry

```
CdTc2Mo
1.0
1.518 -2.219 0.000
1.518 2.219 0.000
0.000 0.000 9.249
Cd Tc Mo
1 2 1
direct
0.000 0.000 0.000 Cd
0.000 0.000 0.506 Tc
0.500 0.500 0.733 Tc
0.500 0.500 0.272 Mo
```

Values from the calculation:
Its calculated formation energy is 0.3368 eV per atom. The magnetic moment is 0.0 Bohr magnetons per cell. As for the space-group type: Cmm2. The density of states at the Fermi level comes out at 0.88 states/eV per atom.

9.
Material: Os2RuW
Method: DFT, PBEsol
State: optimized geometry

```
Os2RuW
1.0
2.718 0.000 0.000
0.000 3.833 0.000
0.000 0.000 5.476
Os Ru W
2 1 1
direct
0.000 0.000 0.242 Os
0.000 0.000 0.758 Os
0.500 0.500 0.000 Ru
0.500 0.500 0.500 W
```

Values from the calculation:
Its calculated formation energy is 0.0878 eV per atom. The magnetic moment is 0.0 Bohr magnetons per cell. As for the space-group type: Pmmm. For the energy above the most stable polymorph in this dataset, the calculation gives 0.38 eV per formula unit. The density of states at the Fermi level comes out at 0.90 states/eV per atom.

10.
Material: EuInPt
Method: DFT, PBEsol
State: optimized geometry

```
EuInPt
1.0
7.251 0.000 0.000
0.000 4.423 0.000
0.000 0.000 8.384
Eu In Pt
4 4 4
direct
0.034 0.250 0.179 Eu
0.466 0.750 0.679 Eu
0.534 0.250 0.321 Eu
0.966 0.750 0.821 Eu
0.147 0.250 0.564 In
0.353 0.750 0.064 In
0.647 0.250 0.936 In
0.853 0.750 0.436 In
0.235 0.750 0.377 Pt
0.265 0.250 0.877 Pt
0.735 0.750 0.123 Pt
0.765 0.250 0.623 Pt
```

Values from the calculation:
Its calculated formation energy is -0.8640 eV per atom. The magnetic moment is 27.5 Bohr magnetons per cell. As for the space-group type: Pnma. The density of states at the Fermi level comes out at 3.00 states/eV per atom.

11.
Material: Sr3NbN3
Method: DFT, PBEsol
State: optimized geometry

```
Sr3NbN3
1.0
7.867 0.000 0.000
-3.934 6.813 0.000
0.000 0.000 5.422
Sr Nb N
6 2 6
direct
0.114 0.357 0.250 Sr
0.243 0.886 0.250 Sr
0.357 0.243 0.750 Sr
0.643 0.757 0.250 Sr
0.757 0.114 0.750 Sr
0.886 0.643 0.750 Sr
0.333 0.667 0.750 Nb
0.667 0.333 0.250 Nb
0.130 0.391 0.750 N
0.261 0.870 0.750 N
0.391 0.261 0.250 N
0.609 0.739 0.750 N
0.739 0.130 0.250 N
0.870 0.609 0.250 N
```

Values from the calculation:
The magnetic moment is 0.0 Bohr magnetons per cell. As for the space-group type: P6_3/m. As for the energy relative to the elements, uncorrected: -88.4 kJ per mole of atoms.

12.
Material: Ta2Mo3
Method: DFT, PBEsol
State: optimized geometry

```
Ta2Mo3
1.0
0.000 2.283 11.117
1.588 0.000 11.117
1.588 2.283 0.000
Ta Mo
2 3
direct
0.101 0.101 0.899 Ta
0.899 0.899 0.101 Ta
0.298 0.298 0.702 Mo
0.500 0.500 0.500 Mo
0.702 0.702 0.298 Mo
```

Values from the calculation:
Its calculated formation energy is -0.0914 eV per atom. The magnetic moment is 0.0 Bohr magnetons per cell. As for the space-group type: Fmmm. For the energy above the most stable polymorph in this dataset, the calculation gives 0.47 eV per formula unit. The density of states at the Fermi level comes out at 0.56 states/eV per atom.

13.
Material: Mg2HBr2
Method: DFT, PBEsol
State: optimized geometry

```
Mg2HBr2
1.0
6.726 0.000 0.000
0.000 6.726 0.000
0.000 0.000 4.396
Mg H Br
4 2 4
direct
0.177 0.323 0.000 Mg
0.323 0.823 0.000 Mg
0.677 0.177 0.000 Mg
0.823 0.677 0.000 Mg
0.000 0.000 0.000 H
0.500 0.500 0.000 H
0.171 0.671 0.500 Br
0.329 0.171 0.500 Br
0.671 0.829 0.500 Br
0.829 0.329 0.500 Br
```

Values from the calculation:
The magnetic moment is 0.0 Bohr magnetons per cell. As for the space-group type: P4/mbm. The density of states at the Fermi level comes out at 0.36 states/eV per atom. As for the total energy: -12.82 eV per formula unit.

14.
Material: Nb2AlWSe
Method: DFT, PBEsol
State: optimized geometry

```
Nb2AlWSe
1.0
4.847 0.000 0.000
0.000 4.847 0.000
0.000 0.000 4.779
Nb Al W Se
2 1 1 1
direct
0.000 0.500 0.000 Nb
0.500 0.000 0.000 Nb
0.000 0.000 0.500 Al
0.000 0.000 0.000 W
0.500 0.500 0.500 Se
```

Values from the calculation:
The magnetic moment is 0.0 Bohr magnetons per cell. As for the space-group type: P4/mmm. As for the energy relative to the elements, uncorrected: 112.5 kJ per mole of atoms. The density of states at the Fermi level comes out at 0.80 states/eV per atom.

15.
Material: SnOsSe2Br
Method: DFT, PBEsol
State: optimized geometry

```
SnOsSe2Br
1.0
4.821 0.000 0.000
0.000 4.821 0.000
0.000 0.000 5.081
Sn Os Se Br
1 1 2 1
direct
0.000 0.000 0.000 Sn
0.500 0.500 0.500 Os
0.000 0.500 0.500 Se
0.500 0.000 0.500 Se
0.500 0.500 0.000 Br
```

Values from the calculation:
The magnetic moment is 0.0 Bohr magnetons per cell. As for the space-group type: P4/mmm. As for the energy relative to the elements, uncorrected: 35.8 kJ per mole of atoms. The density of states at the Fermi level comes out at 1.12 states/eV per atom.

16.
Material: LiTeRh2Au
Method: DFT, PBEsol
State: optimized geometry

```
LiTeRh2Au
1.0
4.879 0.000 0.000
0.000 4.879 0.000
0.000 0.000 4.230
Li Te Rh Au
1 1 2 1
direct
0.000 0.000 0.000 Li
0.500 0.500 0.000 Te
0.000 0.500 0.500 Rh
0.500 0.000 0.500 Rh
0.000 0.000 0.500 Au
```

Values from the calculation:
The magnetic moment is 0.5 Bohr magnetons per cell. As for the space-group type: P4/mmm. As for the energy relative to the elements, uncorrected: 71.7 kJ per mole of atoms. The density of states at the Fermi level comes out at 1.71 states/eV per atom.

17.
Material: BeInTe2
Method: DFT, PBEsol
State: optimized geometry

```
BeInTe2
1.0
1.995 1.152 6.848
-1.995 1.152 6.848
0.000 -2.304 6.848
Be In Te
1 1 2
direct
0.000 0.000 0.000 Be
0.500 0.500 0.500 In
0.265 0.265 0.265 Te
0.735 0.735 0.735 Te
```

Values from the calculation:
The magnetic moment is 0.0 Bohr magnetons per cell. As for the space-group type: R-3m. As for the energy relative to the elements, uncorrected: -9.6 kJ per mole of atoms. For the energy above the most stable polymorph in this dataset, the calculation gives 0.00 eV per formula unit. The density of states at the Fermi level comes out at 0.19 states/eV per atom.

18.
Material: Rb3AlF
Method: DFT, PBEsol
State: optimized geometry

```
Rb3AlF
1.0
6.699 0.000 0.000
0.000 6.699 0.000
0.000 0.000 6.699
Rb Al F
3 1 1
direct
0.000 0.000 0.500 Rb
0.000 0.500 0.000 Rb
0.500 0.000 0.000 Rb
0.000 0.000 0.000 Al
0.500 0.500 0.500 F
```

Values from the calculation:
The magnetic moment is 0.0 Bohr magnetons per cell. As for the space-group type: Pm-3m. As for the energy relative to the elements, uncorrected: -15.5 kJ per mole of atoms. The density of states at the Fermi level comes out at 0.74 states/eV per atom.

19.
Material: In2Ge2Br
Method: DFT, PBEsol
State: optimized geometry

```
In2Ge2Br
1.0
-2.010 2.010 7.392
2.010 -2.010 7.392
2.010 2.010 -7.392
In Ge Br
2 2 1
direct
0.101 0.101 0.000 In
0.899 0.899 0.000 In
0.250 0.750 0.500 Ge
0.750 0.250 0.500 Ge
0.500 0.500 0.000 Br
```

Values from the calculation:
The magnetic moment is 0.0 Bohr magnetons per cell. As for the space-group type: I4/mmm. As for the energy relative to the elements, uncorrected: -0.6 kJ per mole of atoms. The density of states at the Fermi level comes out at 0.47 states/eV per atom.

20.
Material: AgIO3
Method: DFT, PBEsol
State: optimized geometry

```
AgIO3
1.0
6.425 0.000 0.000
0.000 7.438 0.000
0.000 0.000 6.064
Ag I O
4 4 12
direct
0.000 0.000 0.000 Ag
0.000 0.500 0.000 Ag
0.500 0.000 0.500 Ag
0.500 0.500 0.500 Ag
0.001 0.250 0.494 I
0.499 0.750 0.994 I
0.501 0.250 0.006 I
0.999 0.750 0.506 I
0.106 0.750 0.227 O
0.161 0.569 0.632 O
0.161 0.931 0.632 O
0.339 0.069 0.132 O
0.339 0.431 0.132 O
0.394 0.250 0.727 O
0.606 0.750 0.273 O
0.661 0.569 0.868 O
0.661 0.931 0.868 O
0.839 0.069 0.368 O
0.839 0.431 0.368 O
0.894 0.250 0.773 O
```

Values from the calculation:
The magnetic moment is 0.0 Bohr magnetons per cell. As for the space-group type: Pnma. As for the energy relative to the elements, uncorrected: -25.1 kJ per mole of atoms. The density of states at the Fermi level comes out at 0.00 states/eV per atom.

21.
Material: AgPPt5
Method: DFT, PBEsol
State: optimized geometry

```
AgPPt5
1.0
3.897 0.000 0.000
0.000 3.897 0.000
0.000 0.000 6.991
Ag P Pt
1 1 5
direct
0.000 0.000 0.000 Ag
0.500 0.500 0.500 P
0.000 0.500 0.296 Pt
0.000 0.500 0.704 Pt
0.500 0.000 0.296 Pt
0.500 0.000 0.704 Pt
0.500 0.500 0.000 Pt
```

Values from the calculation:
Its calculated formation energy is -0.1976 eV per atom. The magnetic moment is 0.0 Bohr magnetons per cell. As for the space-group type: P4/mmm. The density of states at the Fermi level comes out at 0.77 states/eV per atom.

22.
Material: Ti3GaPb
Method: DFT, PBEsol
State: optimized geometry

```
Ti3GaPb
1.0
5.023 0.000 0.000
0.000 5.023 0.000
0.000 0.000 5.023
Ti Ga Pb
3 1 1
direct
0.000 0.000 0.500 Ti
0.000 0.500 0.000 Ti
0.500 0.000 0.000 Ti
0.500 0.500 0.500 Ga
0.000 0.000 0.000 Pb
```

Values from the calculation:
Its calculated formation energy is 1.2136 eV per atom. The magnetic moment is 2.0 Bohr magnetons per cell. As for the space-group type: Pm-3m. The density of states at the Fermi level comes out at 1.20 states/eV per atom.

23.
Material: Sr6Cu3P5
Method: DFT, PBEsol
State: optimized geometry

```
Sr6Cu3P5
1.0
9.843 0.000 0.000
0.000 9.843 0.000
0.000 0.000 8.186
Sr Cu P
12 6 10
direct
0.000 0.000 0.000 Sr
0.000 0.000 0.500 Sr
0.000 0.500 0.061 Sr
0.258 0.307 0.716 Sr
0.258 0.693 0.716 Sr
0.307 0.258 0.216 Sr
0.307 0.742 0.216 Sr
0.500 0.000 0.561 Sr
0.693 0.258 0.216 Sr
0.693 0.742 0.216 Sr
0.742 0.307 0.716 Sr
0.742 0.693 0.716 Sr
0.000 0.368 0.444 Cu
0.000 0.632 0.444 Cu
0.368 0.000 0.944 Cu
0.500 0.500 0.480 Cu
0.500 0.500 0.980 Cu
0.632 0.000 0.944 Cu
0.000 0.221 0.246 P
0.000 0.500 0.661 P
0.000 0.779 0.246 P
0.221 0.000 0.746 P
0.284 0.500 0.998 P
0.500 0.000 0.161 P
0.500 0.284 0.498 P
0.500 0.716 0.498 P
0.716 0.500 0.998 P
0.779 0.000 0.746 P
```

Values from the calculation:
Its calculated formation energy is -0.7871 eV per atom. The magnetic moment is 0.0 Bohr magnetons per cell. As for the space-group type: P4_2mc.

24.
Material: SrFeAg2
Method: DFT, PBEsol
State: optimized geometry

```
SrFeAg2
1.0
0.000 3.423 3.423
3.423 0.000 3.423
3.423 3.423 0.000
Sr Fe Ag
1 1 2
direct
0.000 0.000 0.000 Sr
0.750 0.750 0.750 Fe
0.250 0.250 0.250 Ag
0.500 0.500 0.500 Ag
```

Values from the calculation:
Its calculated formation energy is 0.4939 eV per atom. The magnetic moment is 3.0 Bohr magnetons per cell. As for the space-group type: F-43m. For the energy above the most stable polymorph in this dataset, the calculation gives 0.16 eV per formula unit. The density of states at the Fermi level comes out at 1.55 states/eV per atom.